# 1
This record from Alexandria describes a relaxed structure of YBe2Rh2. The functional is GGA-PBEsol.

Computed properties:
* DOS(E_F): 1.876 states/eV/f.u.
* SG: I4/mmm, No. 139
* V: 14.4 Å³ per atom
* ΔH_f (0 K): -0.55 eV/atom

Unit cell a=5.501 b=5.501 c=5.501 alpha=138.68 beta=138.68 gamma=59.87
Atoms (fractional coordinates):
Y (0.000, 0.000, 0.000)
Be (0.250, 0.750, 0.500)
Be (0.750, 0.250, 0.500)
Rh (0.363, 0.363, 0.000)
Rh (0.637, 0.637, 0.000)

=====

# 2
This record from Alexandria describes a relaxed structure of ScMoW2. The functional is GGA-PBEsol.

Computed properties:
* DOS(E_F): 3.441 states/eV/f.u.
* SG: Cmm2, No. 35
* polymorph energy (0 for the lowest one): 0.02 eV per formula unit
* V: 16.5 Å³ per atom
* ΔH_f (0 K): 0.15 eV/atom

Unit cell a=2.763 b=2.763 c=9.135 alpha=90.00 beta=90.00 gamma=109.17
Atoms (fractional coordinates):
Sc (0.000, 0.000, 0.000)
Mo (0.500, 0.500, 0.738)
W (0.000, 0.000, 0.502)
W (0.500, 0.500, 0.264)